[1]
Computed, not measured: an optimized crystal structure of Tl5Bi3Br12 at the GGA-PBE level of DFT.

Summary:
Raw total energy: -0.10128 hartree per atom
Calculated density: 4.66 g/cm3
Uncorrected formation energy: -0.578 eV/atom

a = 16.8986 Å, b = 16.8986 Å, c = 16.8986 Å
α = 109.47°, β = 109.47°, γ = 109.47°
Last column: nearest neighbours and their distance in Å.
Positions (direct):
1 Tl 0.0000 0.0000 0.0000  6 Br 3.30
2 Tl 0.0000 0.0000 0.5000  6 Br 3.30
3 Tl 0.0000 0.5000 0.0000  6 Br 3.30
4 Tl 0.0000 0.5000 0.5000  6 Br 3.30
5 Tl 0.1250 0.7500 0.8750  4 Br 3.26
6 Tl 0.1250 0.8750 0.2500  4 Br 3.26
7 Tl 0.2500 0.1250 0.8750  4 Br 3.26
8 Tl 0.2500 0.6250 0.3750  4 Br 3.26
9 Tl 0.3750 0.2500 0.6250  4 Br 3.26
10 Tl 0.3750 0.6250 0.7500  4 Br 3.26
11 Tl 0.5000 0.0000 0.0000  6 Br 3.30
12 Tl 0.5000 0.0000 0.5000  6 Br 3.30
13 Tl 0.5000 0.5000 0.0000  6 Br 3.30
14 Tl 0.5000 0.5000 0.5000  6 Br 3.30
15 Tl 0.6250 0.3750 0.2500  4 Br 3.26
16 Tl 0.6250 0.7500 0.3750  4 Br 3.26
17 Tl 0.7500 0.3750 0.6250  4 Br 3.26
18 Tl 0.7500 0.8750 0.1250  4 Br 3.26
19 Tl 0.8750 0.1250 0.7500  4 Br 3.26
20 Tl 0.8750 0.2500 0.1250  4 Br 3.26
21 Bi 0.1250 0.2500 0.3750  4 Br 2.89
22 Bi 0.1250 0.3750 0.7500  4 Br 2.89
23 Bi 0.2500 0.3750 0.1250  4 Br 2.89
24 Bi 0.2500 0.8750 0.6250  4 Br 2.89
25 Bi 0.3750 0.1250 0.2500  4 Br 2.89
26 Bi 0.3750 0.7500 0.1250  4 Br 2.89
27 Bi 0.6250 0.2500 0.8750  4 Br 2.89
28 Bi 0.6250 0.8750 0.7500  4 Br 2.89
29 Bi 0.7500 0.1250 0.3750  4 Br 2.89
30 Bi 0.7500 0.6250 0.8750  4 Br 2.89
31 Bi 0.8750 0.6250 0.2500  4 Br 2.89
32 Bi 0.8750 0.7500 0.6250  4 Br 2.89
33 Br 0.0296 0.7052 0.6515  1 Bi 2.89
34 Br 0.0296 0.8244 0.3781  1 Bi 2.89
35 Br 0.0537 0.2052 0.1756  1 Bi 2.89
36 Br 0.0537 0.3485 0.8781  1 Bi 2.89
37 Br 0.1219 0.6756 0.4704  1 Bi 2.89
38 Br 0.1219 0.9463 0.6515  1 Bi 2.89
39 Br 0.1515 0.2052 0.5296  1 Bi 2.89
40 Br 0.1515 0.4463 0.6219  1 Bi 2.89
41 Br 0.1756 0.0537 0.2052  1 Bi 2.89
42 Br 0.1756 0.6219 0.9704  1 Bi 2.89
43 Br 0.2052 0.1756 0.0537  1 Bi 2.89
44 Br 0.2052 0.5296 0.1515  1 Bi 2.89
45 Br 0.2948 0.3485 0.9704  1 Bi 2.89
46 Br 0.2948 0.4463 0.3244  1 Bi 2.89
47 Br 0.3244 0.2948 0.4463  1 Bi 2.89
48 Br 0.3244 0.5296 0.8781  1 Bi 2.89
49 Br 0.3485 0.8781 0.0537  1 Bi 2.89
50 Br 0.3485 0.9704 0.2948  1 Bi 2.89
51 Br 0.3781 0.0296 0.8244  1 Bi 2.89
52 Br 0.3781 0.8485 0.5537  1 Bi 2.89
53 Br 0.4463 0.3244 0.2948  1 Bi 2.89
54 Br 0.4463 0.6219 0.1515  1 Bi 2.89
55 Br 0.4704 0.1219 0.6756  1 Bi 2.89
56 Br 0.4704 0.8485 0.7948  1 Bi 2.89
57 Br 0.5296 0.1515 0.2052  1 Bi 2.89
58 Br 0.5296 0.8781 0.3244  1 Bi 2.89
59 Br 0.5537 0.3781 0.8485  1 Bi 2.89
60 Br 0.5537 0.6756 0.7052  1 Bi 2.89
61 Br 0.6219 0.1515 0.4463  1 Bi 2.89
62 Br 0.6219 0.9704 0.1756  1 Bi 2.89
63 Br 0.6515 0.0296 0.7052  1 Bi 2.89
64 Br 0.6515 0.1219 0.9463  1 Bi 2.89
65 Br 0.6756 0.4704 0.1219  1 Bi 2.89
66 Br 0.6756 0.7052 0.5537  1 Bi 2.89
67 Br 0.7052 0.5537 0.6756  1 Bi 2.89
68 Br 0.7052 0.6515 0.0296  1 Bi 2.89
69 Br 0.7948 0.4704 0.8485  1 Bi 2.89
70 Br 0.7948 0.8244 0.9463  1 Bi 2.89
71 Br 0.8244 0.3781 0.0296  1 Bi 2.89
72 Br 0.8244 0.9463 0.7948  1 Bi 2.89
73 Br 0.8485 0.5537 0.3781  1 Bi 2.89
74 Br 0.8485 0.7948 0.4704  1 Bi 2.89
75 Br 0.8781 0.0537 0.3485  1 Bi 2.89
76 Br 0.8781 0.3244 0.5296  1 Bi 2.89
77 Br 0.9463 0.6515 0.1219  1 Bi 2.89
78 Br 0.9463 0.7948 0.8244  1 Bi 2.89
79 Br 0.9704 0.1756 0.6219  1 Bi 2.89
80 Br 0.9704 0.2948 0.3485  1 Bi 2.89

=====

[2]
Computed, not measured: an optimized crystal structure of Tl2BiBr2 at the GGA-PBE level of DFT.

Summary:
Raw total energy: -0.09942 hartree per atom
Calculated density: 7.63 g/cm3
Uncorrected formation energy: -0.314 eV/atom

a = 8.9376 Å, b = 8.9376 Å, c = 4.2381 Å
α = 90.00°, β = 90.00°, γ = 90.00°
Last column: nearest neighbours and their distance in Å.
Positions (direct):
1 Tl 0.1497 0.3503 0.0000  6 Br 3.21-3.48
2 Tl 0.3503 0.8503 0.0000  6 Br 3.21-3.48
3 Tl 0.6497 0.1497 0.0000  6 Br 3.21-3.48
4 Tl 0.8503 0.6497 0.0000  6 Br 3.21-3.48
5 Bi 0.0000 0.0000 0.5000  4 Br 3.36
6 Bi 0.5000 0.5000 0.5000  4 Br 3.36
7 Br 0.1595 0.6595 0.5000  6 Tl 3.21-3.48, 2 Bi 3.36
8 Br 0.3405 0.1595 0.5000  6 Tl 3.21-3.48, 2 Bi 3.36
9 Br 0.6595 0.8405 0.5000  6 Tl 3.21-3.48, 2 Bi 3.36
10 Br 0.8405 0.3405 0.5000  6 Tl 3.21-3.48, 2 Bi 3.36

=====

[3]
Computed, not measured: an optimized crystal structure of Tl2Bi2Br at the GGA-PBE level of DFT.

Summary:
Raw total energy: -0.10592 hartree per atom
Calculated density: 8.51 g/cm3
Uncorrected formation energy: -0.049 eV/atom

a = 10.1629 Å, b = 10.1629 Å, c = 3.4249 Å
α = 90.00°, β = 90.00°, γ = 90.00°
Last column: nearest neighbours and their distance in Å.
Positions (direct):
1 Tl 0.1843 0.3157 0.0000  2 Tl 3.42, 6 Bi 3.46-3.51
2 Tl 0.3157 0.8157 0.0000  2 Tl 3.42, 6 Bi 3.46-3.51
3 Tl 0.6843 0.1843 0.0000  2 Tl 3.42, 6 Bi 3.46-3.51
4 Tl 0.8157 0.6843 0.0000  2 Tl 3.42, 6 Bi 3.46-3.51
5 Bi 0.1066 0.6066 0.5000  3 Bi 3.06-3.42
6 Bi 0.3934 0.1066 0.5000  3 Bi 3.06-3.42
7 Bi 0.6066 0.8934 0.5000  3 Bi 3.06-3.42
8 Bi 0.8934 0.3934 0.5000  3 Bi 3.06-3.42
9 Br 0.0000 0.0000 0.5000  2 Br 3.42
10 Br 0.5000 0.5000 0.5000  2 Br 3.42

=====

[4]
Computed, not measured: an optimized crystal structure of Tl2BiBr6 at the GGA-PBE level of DFT.

Summary:
Raw total energy: -0.10073 hartree per atom
Calculated density: 5.05 g/cm3
Uncorrected formation energy: -0.669 eV/atom

a = 7.2780 Å, b = 7.8085 Å, c = 7.8111 Å
α = 60.11°, β = 69.51°, γ = 79.91°
Last column: nearest neighbours and their distance in Å.
Positions (direct):
1 Tl 0.0000 0.1663 0.1666  6 Br 3.21-3.23
2 Tl 0.0000 0.8337 0.8334  6 Br 3.21-3.23
3 Bi 0.0000 0.5000 0.5000  6 Br 2.90
4 Br 0.2464 0.4998 0.7225  1 Bi 2.90, 2 Tl 3.21
5 Br 0.2491 0.1981 0.4197  1 Bi 2.90, 2 Tl 3.22-3.23
6 Br 0.2495 0.8007 0.1187  1 Bi 2.90, 2 Tl 3.22-3.23
7 Br 0.7505 0.1993 0.8813  1 Bi 2.90, 2 Tl 3.22-3.23
8 Br 0.7509 0.8019 0.5803  1 Bi 2.90, 2 Tl 3.22-3.23
9 Br 0.7536 0.5002 0.2775  1 Bi 2.90, 2 Tl 3.21

=====

[5]
Computed, not measured: an optimized crystal structure of Tl3BiBr6 at the GGA-PBE level of DFT.

Summary:
Raw total energy: -0.10774 hartree per atom
Calculated density: 5.59 g/cm3
Uncorrected formation energy: -0.830 eV/atom

a = 7.8159 Å, b = 8.6370 Å, c = 13.6094 Å
α = 90.00°, β = 122.63°, γ = 90.00°
Last column: nearest neighbours and their distance in Å.
Positions (direct):
1 Tl 0.0000 0.0000 0.0000  6 Br 3.27-3.34
2 Tl 0.0000 0.5000 0.5000  6 Br 3.27-3.34
3 Tl 0.2064 0.0812 0.7399  5 Br 3.32-3.55
4 Tl 0.2064 0.4188 0.2399  5 Br 3.32-3.55
5 Tl 0.7936 0.5812 0.7601  5 Br 3.32-3.55
6 Tl 0.7936 0.9188 0.2601  5 Br 3.32-3.55
7 Bi 0.5000 0.0000 0.5000  6 Br 2.89-2.90
8 Bi 0.5000 0.5000 0.0000  6 Br 2.89-2.90
9 Br 0.1426 0.1708 0.4477  1 Bi 2.89
10 Br 0.1426 0.3292 0.9477  1 Bi 2.89
11 Br 0.2620 0.7171 0.4225  1 Bi 2.90
12 Br 0.2620 0.7829 0.9225  1 Bi 2.90
13 Br 0.4049 0.0599 0.2664  1 Bi 2.90
14 Br 0.4049 0.4401 0.7664  1 Bi 2.90
15 Br 0.5951 0.5599 0.2336  1 Bi 2.90
16 Br 0.5951 0.9401 0.7336  1 Bi 2.90
17 Br 0.7380 0.2171 0.0775  1 Bi 2.90
18 Br 0.7380 0.2829 0.5775  1 Bi 2.90
19 Br 0.8574 0.6708 0.0523  1 Bi 2.89
20 Br 0.8574 0.8292 0.5523  1 Bi 2.89

=====

[6]
Computed, not measured: an optimized crystal structure of Tl2BiBr6 at the GGA-PBE level of DFT.

Summary:
Raw total energy: -0.10081 hartree per atom
Calculated density: 5.10 g/cm3
Uncorrected formation energy: -0.671 eV/atom

a = 7.3163 Å, b = 7.3163 Å, c = 13.3417 Å
α = 90.00°, β = 90.00°, γ = 90.00°
Last column: nearest neighbours and their distance in Å.
Positions (direct):
1 Tl 0.0000 0.0000 0.1636  6 Br 3.14-3.17
2 Tl 0.0000 0.0000 0.8364  6 Br 3.14-3.17
3 Tl 0.5000 0.5000 0.3364  6 Br 3.14-3.17
4 Tl 0.5000 0.5000 0.6636  6 Br 3.14-3.17
5 Bi 0.0000 0.0000 0.5000  6 Br 2.87-2.90
6 Bi 0.5000 0.5000 0.0000  6 Br 2.87-2.90
7 Br 0.1953 0.1953 0.3437  1 Bi 2.90, 2 Tl 3.14-3.15
8 Br 0.1953 0.1953 0.6563  1 Bi 2.90, 2 Tl 3.14-3.15
9 Br 0.2225 0.2225 0.0000  1 Bi 2.87, 2 Tl 3.17
10 Br 0.2775 0.7225 0.5000  1 Bi 2.87, 2 Tl 3.17
11 Br 0.3047 0.6953 0.1563  1 Bi 2.90, 2 Tl 3.14-3.15
12 Br 0.3047 0.6953 0.8437  1 Bi 2.90, 2 Tl 3.14-3.15
13 Br 0.6953 0.3047 0.1563  1 Bi 2.90, 2 Tl 3.14-3.15
14 Br 0.6953 0.3047 0.8437  1 Bi 2.90, 2 Tl 3.14-3.15
15 Br 0.7225 0.2775 0.5000  1 Bi 2.87, 2 Tl 3.17
16 Br 0.7775 0.7775 0.0000  1 Bi 2.87, 2 Tl 3.17
17 Br 0.8047 0.8047 0.3437  1 Bi 2.90, 2 Tl 3.14-3.15
18 Br 0.8047 0.8047 0.6563  1 Bi 2.90, 2 Tl 3.14-3.15

=====

[7]
Computed, not measured: an optimized crystal structure of Tl2BiBr5 at the GGA-PBE level of DFT.

Summary:
Raw total energy: -0.10760 hartree per atom
Calculated density: 6.15 g/cm3
Uncorrected formation energy: -0.806 eV/atom

a = 13.4547 Å, b = 9.2282 Å, c = 8.8443 Å
α = 90.00°, β = 90.00°, γ = 90.00°
Last column: nearest neighbours and their distance in Å.
Positions (direct):
1 Tl 0.1647 0.0068 0.0857  7 Br 3.33-3.72
2 Tl 0.1647 0.4932 0.0857  7 Br 3.33-3.72
3 Tl 0.3353 0.5068 0.5857  7 Br 3.33-3.72
4 Tl 0.3353 0.9932 0.5857  7 Br 3.33-3.72
5 Tl 0.6647 0.0068 0.4143  7 Br 3.33-3.72
6 Tl 0.6647 0.4932 0.4143  7 Br 3.33-3.72
7 Tl 0.8353 0.5068 0.9143  7 Br 3.33-3.72
8 Tl 0.8353 0.9932 0.9143  7 Br 3.33-3.72
9 Bi 0.0037 0.2500 0.5625  7 Br 2.89-3.15
10 Bi 0.4963 0.7500 0.0625  7 Br 2.89-3.15
11 Bi 0.5037 0.2500 0.9375  7 Br 2.89-3.15
12 Bi 0.9963 0.7500 0.4375  7 Br 2.89-3.15
13 Br 0.0095 0.2500 0.9181  1 Bi 3.15, 4 Tl 3.33-3.40
14 Br 0.0608 0.5504 0.6755  2 Bi 2.93-3.05
15 Br 0.0608 0.9496 0.6755  2 Bi 2.93-3.05
16 Br 0.1946 0.2500 0.4048  1 Bi 2.92
17 Br 0.2044 0.7500 0.3577  1 Bi 2.89
18 Br 0.2956 0.2500 0.8577  1 Bi 2.89
19 Br 0.3054 0.7500 0.9048  1 Bi 2.92
20 Br 0.4392 0.0504 0.1755  2 Bi 2.93-3.05
21 Br 0.4392 0.4496 0.1755  2 Bi 2.93-3.05
22 Br 0.4905 0.7500 0.4181  1 Bi 3.15, 4 Tl 3.33-3.40
23 Br 0.5095 0.2500 0.5819  1 Bi 3.15, 4 Tl 3.33-3.40
24 Br 0.5608 0.5504 0.8245  2 Bi 2.93-3.05
25 Br 0.5608 0.9496 0.8245  2 Bi 2.93-3.05
26 Br 0.6946 0.2500 0.0952  1 Bi 2.92
27 Br 0.7044 0.7500 0.1423  1 Bi 2.89
28 Br 0.7956 0.2500 0.6423  1 Bi 2.89
29 Br 0.8054 0.7500 0.5952  1 Bi 2.92
30 Br 0.9392 0.0504 0.3245  2 Bi 2.93-3.05
31 Br 0.9392 0.4496 0.3245  2 Bi 2.93-3.05
32 Br 0.9905 0.7500 0.0819  1 Bi 3.15, 4 Tl 3.33-3.40

=====

[8]
Computed, not measured: an optimized crystal structure of TlBi2Br6 at the GGA-PBE level of DFT.

Summary:
Raw total energy: -0.10609 hartree per atom
Calculated density: 4.96 g/cm3
Uncorrected formation energy: -0.646 eV/atom

a = 7.8597 Å, b = 7.8597 Å, c = 6.8944 Å
α = 90.00°, β = 90.00°, γ = 120.00°
Last column: nearest neighbours and their distance in Å.
Positions (direct):
1 Tl 0.0000 0.0000 0.0000  6 Br 3.41
2 Bi 0.3333 0.6667 0.5000  6 Br 2.96
3 Bi 0.6667 0.3333 0.5000  6 Br 2.96
4 Br 0.0000 0.3615 0.7267  2 Bi 2.96
5 Br 0.0000 0.6385 0.2733  2 Bi 2.96
6 Br 0.3615 0.0000 0.7267  2 Bi 2.96
7 Br 0.3615 0.3615 0.2733  2 Bi 2.96
8 Br 0.6385 0.0000 0.2733  2 Bi 2.96
9 Br 0.6385 0.6385 0.7267  2 Bi 2.96